# 1
A relaxed K2TlRh crystal. Source: Alexandria via LeMat-Bulk, functional GGA-PBE.

abc: 6.933 5.941 3.812
angles: 89.87 56.91 114.10
Fractional coordinates of all 4 atoms:
K  0.000  0.000  0.000
K  0.500  0.000  0.500
Rh  0.000  0.500  0.500
Tl  0.500  0.500  0.000

Output
- Calculated formation energy: 0.45 eV per atom
- E above lowest polymorph: 137.5 kJ/mol of formula units
- Total magnetic moment: 0.00 Bohr magnetons per cell

=====

# 2
A relaxed KTlRh crystal. Source: Alexandria via LeMat-Bulk, functional GGA-PBE.

abc: 5.065 5.065 5.065
angles: 60.00 60.00 60.00
Site moments in Bohr magnetons follow the coordinates.
Fractional coordinates of all 3 atoms:
K  0.750  0.750  0.750  0.01
Rh  0.000  0.000  0.000  0.61
Tl  0.500  0.500  0.500  0.01

Output
- Calculated formation energy: 1.08 eV per atom
- Total magnetic moment: 0.76 Bohr magnetons per cell

=====

# 3
A relaxed K2TlRh crystal. Source: Alexandria via LeMat-Bulk, functional GGA-PBE.

abc: 3.812 3.812 10.026
angles: 90.00 90.00 90.00
Fractional coordinates of all 4 atoms:
K  0.000  0.000  0.922
K  0.500  0.500  0.324
Rh  0.000  0.000  0.606
Tl  0.500  0.500  0.648

Output
- Calculated formation energy: 0.15 eV per atom
- E above lowest polymorph: 22.4 kJ/mol of formula units
- Total magnetic moment: 0.00 Bohr magnetons per cell

=====

# 4
A relaxed K2TlRh crystal. Source: Alexandria via LeMat-Bulk, functional GGA-PBE.

abc: 4.662 4.662 8.888
angles: 74.55 74.55 60.05
Fractional coordinates of all 4 atoms:
K  0.967  0.967  0.104
K  0.783  0.783  0.646
Rh  0.542  0.542  0.375
Tl  0.208  0.208  0.375

Output
- Calculated formation energy: 0.11 eV per atom
- E above lowest polymorph: 6.5 kJ/mol of formula units
- Total magnetic moment: 0.00 Bohr magnetons per cell